(1)
Compound: InSb2Mo2
Source: Alexandria via LeMat-Bulk
Functional: GGA-PBE
Structure: relaxed

a = 5.250 Å, b = 5.250 Å, c = 8.809 Å
α = 90.00°, β = 90.00°, γ = 90.00°
Space group I4/mmm (No. 139)
Inequivalent atoms, fractional coordinates:
In 0.000 0.000 0.000 [2 per cell]
Sb 0.000 0.500 0.250 [4 per cell]
Mo 0.000 0.000 0.376 [4 per cell]

Results
E	-6.060	eV per atom
formation energy (no corrections)	226	kJ/mol of formula units

***

(2)
Compound: Ce2Th3In2
Source: Alexandria via LeMat-Bulk
Functional: GGA-PBE
Structure: relaxed

a = 3.481 Å, b = 5.501 Å, c = 21.361 Å
α = 90.00°, β = 90.00°, γ = 90.00°
Space group Immm (No. 71)
Inequivalent atoms, fractional coordinates:
Ce 0.000 0.000 0.064 [4 per cell]
Th 0.000 0.000 0.500 [2 per cell]
Th 0.000 0.500 0.302 [4 per cell]
In 0.000 0.500 0.145 [4 per cell]

Results
energy above the lowest structure with this stoichiometry	0.601	eV/f.u.
E	-5.728	eV per atom
ΔH_f (0 K)	-0.07	eV/atom

***

(3)
Compound: Na2Bi2I7
Source: Alexandria via LeMat-Bulk
Functional: GGA-PBE
Structure: relaxed

a = 10.472 Å, b = 13.815 Å, c = 8.098 Å
α = 90.00°, β = 94.74°, γ = 90.00°
Space group C2/m (No. 12)
Inequivalent atoms, fractional coordinates:
Na 0.000 0.196 0.000 [4 per cell]
Bi 0.221 0.000 0.600 [4 per cell]
I 0.000 0.500 0.500 [2 per cell]
I 0.088 0.000 0.247 [4 per cell]
I 0.246 0.315 0.209 [8 per cell]

Results
E	-2.532	eV per atom
formation energy (no corrections)	-637	kJ/mol of formula units